(1)
NaZn2Ag | the Alexandria database | PBE | optimized geometry; DOS(E_F) = 0.509 states/eV per atom; space-group type = No. 141; E above lowest polymorph = 182.0 meV/atom; ΔH_f (0 K) = 162 meV per atom
1.0
-2.410 2.410 9.195
2.410 -2.410 9.195
2.410 2.410 -9.195
Na Zn Ag
2 4 2
direct
0.375 0.625 0.750 Na
0.625 0.375 0.250 Na
0.000 0.000 0.000 Zn
0.000 0.000 0.500 Zn
0.000 0.500 0.000 Zn
0.500 0.000 0.500 Zn
0.125 0.875 0.250 Ag
0.875 0.125 0.750 Ag


(2)
Na3Zn7Ag2 | the Alexandria database | PBE | optimized geometry; DOS(E_F) = 0.200 states/eV per atom; space-group type = No. 166; ΔH_f (0 K) = -63 meV per atom
1.0
2.709 1.564 8.890
-2.709 1.564 8.890
0.000 -3.128 8.890
Na Zn Ag
3 7 2
direct
0.000 0.000 0.000 Na
0.144 0.144 0.144 Na
0.856 0.856 0.856 Na
0.084 0.585 0.585 Zn
0.415 0.415 0.916 Zn
0.415 0.916 0.415 Zn
0.500 0.500 0.500 Zn
0.585 0.084 0.585 Zn
0.585 0.585 0.084 Zn
0.916 0.415 0.415 Zn
0.333 0.333 0.333 Ag
0.667 0.667 0.667 Ag


(3)
Na6ZnAg2 | the Alexandria database | PBE | optimized geometry; DOS(E_F) = 0.207 states/eV per atom; space-group type = No. 12; ΔH_f (0 K) = -9 meV per atom
1.0
4.575 -2.639 0.000
4.575 2.639 0.000
-3.034 0.000 10.043
Na Zn Ag
6 1 2
direct
0.078 0.078 0.233 Na
0.199 0.199 0.597 Na
0.310 0.310 0.929 Na
0.690 0.690 0.071 Na
0.801 0.801 0.403 Na
0.922 0.922 0.767 Na
0.500 0.500 0.500 Zn
0.413 0.413 0.240 Ag
0.587 0.587 0.760 Ag


(4)
NaZnAg2 | the Alexandria database | PBE | optimized geometry; DOS(E_F) = 0.248 states/eV per atom; space-group type = No. 123; ΔH_f (0 K) = -9 meV per atom
1.0
3.041 0.000 0.000
0.000 3.041 0.000
0.000 0.000 8.191
Na Zn Ag
1 1 2
direct
0.000 0.000 0.000 Na
0.000 0.000 0.500 Zn
0.500 0.500 0.289 Ag
0.500 0.500 0.711 Ag


(5)
NaZn2Ag6 | the Alexandria database | PBE | optimized geometry; DOS(E_F) = 0.577 states/eV per atom; space-group type = No. 162; E above lowest polymorph = 107.9 meV/atom; ΔH_f (0 K) = 121 meV per atom
1.0
4.951 0.000 0.000
-2.476 4.288 0.000
0.000 0.000 9.669
Na Zn Ag
1 2 6
direct
0.000 0.000 0.000 Na
0.333 0.667 0.500 Zn
0.667 0.333 0.500 Zn
0.000 0.331 0.724 Ag
0.000 0.669 0.276 Ag
0.331 0.000 0.724 Ag
0.331 0.331 0.276 Ag
0.669 0.000 0.276 Ag
0.669 0.669 0.724 Ag


(6)
Na2Zn2Ag | the Alexandria database | PBE | optimized geometry; DOS(E_F) = 0.377 states/eV per atom; space-group type = No. 127; E above lowest polymorph = 0.0 meV/atom; ΔH_f (0 K) = 22 meV per atom
1.0
6.830 0.000 0.000
0.000 6.830 0.000
0.000 0.000 4.863
Na Zn Ag
4 4 2
direct
0.178 0.322 0.000 Na
0.322 0.822 0.000 Na
0.678 0.178 0.000 Na
0.822 0.678 0.000 Na
0.132 0.632 0.500 Zn
0.368 0.132 0.500 Zn
0.632 0.868 0.500 Zn
0.868 0.368 0.500 Zn
0.000 0.000 0.500 Ag
0.500 0.500 0.500 Ag


(7)
NaZnAg3 | the Alexandria database | PBE | optimized geometry; DOS(E_F) = 0.344 states/eV per atom; space-group type = No. 63; E above lowest polymorph = 0.0 meV/atom; ΔH_f (0 K) = -3 meV per atom
1.0
2.907 -6.625 0.000
2.907 6.625 0.000
0.000 0.000 5.209
Na Zn Ag
2 2 6
direct
0.094 0.906 0.750 Na
0.906 0.094 0.250 Na
0.500 0.500 0.000 Zn
0.500 0.500 0.500 Zn
0.104 0.400 0.750 Ag
0.324 0.676 0.250 Ag
0.400 0.104 0.250 Ag
0.600 0.896 0.750 Ag
0.676 0.324 0.750 Ag
0.896 0.600 0.250 Ag


(8)
NaZn2Ag3 | the Alexandria database | PBE | optimized geometry; DOS(E_F) = 0.352 states/eV per atom; space-group type = No. 191; E above lowest polymorph = 0.0 meV/atom; ΔH_f (0 K) = -32 meV per atom
1.0
5.755 0.000 0.000
-2.877 4.984 0.000
0.000 0.000 4.217
Na Zn Ag
1 2 3
direct
0.000 0.000 0.000 Na
0.333 0.667 0.000 Zn
0.667 0.333 0.000 Zn
0.000 0.500 0.500 Ag
0.500 0.000 0.500 Ag
0.500 0.500 0.500 Ag


(9)
Na2Zn9Ag6 | the Alexandria database | PBE | optimized geometry; DOS(E_F) = 0.302 states/eV per atom; space-group type = No. 191; ΔH_f (0 K) = 0 meV per atom
1.0
5.338 0.000 0.000
-2.669 4.623 0.000
0.000 0.000 13.521
Na Zn Ag
2 9 6
direct
0.000 0.000 0.163 Na
0.000 0.000 0.837 Na
0.000 0.500 0.000 Zn
0.000 0.500 0.335 Zn
0.000 0.500 0.665 Zn
0.500 0.000 0.000 Zn
0.500 0.000 0.335 Zn
0.500 0.000 0.665 Zn
0.500 0.500 0.000 Zn
0.500 0.500 0.335 Zn
0.500 0.500 0.665 Zn
0.333 0.667 0.168 Ag
0.333 0.667 0.500 Ag
0.333 0.667 0.832 Ag
0.667 0.333 0.168 Ag
0.667 0.333 0.500 Ag
0.667 0.333 0.832 Ag


(10)
NaZn2Ag | the Alexandria database | PBE | optimized geometry; DOS(E_F) = 0.589 states/eV per atom; space-group type = No. 166; E above lowest polymorph = 46.2 meV/atom; ΔH_f (0 K) = 26 meV per atom
1.0
2.257 1.303 5.108
-2.257 1.303 5.108
0.000 -2.607 5.108
Na Zn Ag
1 2 1
direct
0.000 0.000 0.000 Na
0.195 0.195 0.195 Zn
0.805 0.805 0.805 Zn
0.500 0.500 0.500 Ag


(11)
Na2Zn2Ag | the Alexandria database | PBE | optimized geometry; DOS(E_F) = 0.375 states/eV per atom; space-group type = No. 139; E above lowest polymorph = 250.3 meV/atom; ΔH_f (0 K) = 273 meV per atom
1.0
-2.020 2.020 6.912
2.020 -2.020 6.912
2.020 2.020 -6.912
Na Zn Ag
2 2 1
direct
0.250 0.750 0.500 Na
0.750 0.250 0.500 Na
0.088 0.088 0.000 Zn
0.912 0.912 0.000 Zn
0.500 0.500 0.000 Ag


(12)
Na2Zn3Ag | the Alexandria database | PBE | optimized geometry; DOS(E_F) = 0.469 states/eV per atom; space-group type = No. 12; ΔH_f (0 K) = -61 meV per atom
1.0
4.718 -2.732 0.000
4.718 2.732 0.000
-3.097 0.000 4.552
Na Zn Ag
2 3 1
direct
0.125 0.125 0.375 Na
0.875 0.875 0.625 Na
0.000 0.500 0.000 Zn
0.500 0.000 0.000 Zn
0.500 0.500 0.000 Zn
0.500 0.500 0.500 Ag